1.
Below is a geometry-optimized InAsO2F structure, with properties calculated at the PBE level.

Values from the calculation:
As for the total energy: -4.507 eV/atom. Its crystal system is tetragonal. The formation energy (no corrections) comes out at -0.672 eV per atom. The space group is P4/mmm, No. 123.

Unit cell a=4.218 b=4.218 c=4.133 alpha=90.00 beta=90.00 gamma=90.00
Fractional coordinates of all 5 atoms:
In1 0.000 0.000 0.000
As1 0.500 0.500 0.500
O1 0.000 0.500 0.000
O2 0.500 0.000 0.000
F1 0.000 0.000 0.500

2.
Below is a geometry-optimized Ba2AsPt structure, with properties calculated at the PBE level.

Values from the calculation:
As for the total energy: -4.494 eV/atom. Its crystal system is monoclinic. As for the calculated formation energy: -3.44 eV/f.u. The space group is P2_1/m, No. 11.

Unit cell a=6.318 b=4.669 c=9.121 alpha=90.00 beta=106.95 gamma=90.00
Fractional coordinates of all 8 atoms:
Ba1 0.202 0.250 0.417
Ba2 0.281 0.750 0.062
Ba3 0.719 0.250 0.938
Ba4 0.798 0.750 0.583
As1 0.341 0.750 0.715
As2 0.659 0.250 0.285
Pt1 0.193 0.250 0.771
Pt2 0.807 0.750 0.229

3.
Below is a geometry-optimized ZnRe2GePd structure, with properties calculated at the PBE level.

Values from the calculation:
As for the total energy: -5.321 eV/atom. Its crystal system is tetragonal. As for the calculated formation energy: 9.38 eV/f.u. The space group is P4/mmm, No. 123.

Unit cell a=4.603 b=4.603 c=4.364 alpha=90.00 beta=90.00 gamma=90.00
Fractional coordinates of all 5 atoms:
Zn1 0.000 0.000 0.000
Re1 0.000 0.500 0.000
Re2 0.500 0.000 0.000
Ge1 0.000 0.000 0.500
Pd1 0.500 0.500 0.500

4.
Below is a geometry-optimized Th2NpGe4Pt3 structure, with properties calculated at the PBE level.

Values from the calculation:
As for the total energy: -7.111 eV/atom. Its crystal system is tetragonal. As for the calculated formation energy: -6.74 eV/f.u. The space group is P-4m2, No. 115.

Unit cell a=4.346 b=4.346 c=11.148 alpha=90.00 beta=90.00 gamma=90.00
Fractional coordinates of all 10 atoms:
Th1 0.000 0.500 0.234
Th2 0.500 0.000 0.766
Np1 0.000 0.000 0.500
Ge1 0.000 0.000 0.000
Ge2 0.000 0.500 0.664
Ge3 0.500 0.000 0.336
Ge4 0.500 0.500 0.000
Pt1 0.000 0.500 0.885
Pt2 0.500 0.000 0.115
Pt3 0.500 0.500 0.500

5.
Below is a geometry-optimized Ti6CdPb structure, with properties calculated at the PBE level.

Values from the calculation:
As for the total energy: -6.514 eV/atom. Its crystal system is hexagonal. As for the calculated formation energy: -0.12 eV/f.u. The space group is P-6m2, No. 187.

Unit cell a=5.928 b=5.928 c=4.803 alpha=90.00 beta=90.00 gamma=120.00
Fractional coordinates of all 8 atoms:
Ti1 0.006 0.503 0.000
Ti2 0.171 0.342 0.500
Ti3 0.171 0.829 0.500
Ti4 0.497 0.503 0.000
Ti5 0.497 0.994 0.000
Ti6 0.658 0.829 0.500
Cd1 0.000 0.000 0.000
Pb1 0.667 0.333 0.500

6.
Below is a geometry-optimized Cs3Na9Tl2 structure, with properties calculated at the PBE level.

Values from the calculation:
As for the total energy: -1.375 eV/atom. Its crystal system is orthorhombic. As for the calculated formation energy: -0.08 eV/f.u. The space group is Immm, No. 71.

Unit cell a=11.204 b=11.204 c=11.204 alpha=150.32 beta=104.48 gamma=83.18
Fractional coordinates of all 14 atoms:
Cs1 0.000 0.000 0.000
Cs2 0.313 0.313 0.000
Cs3 0.687 0.687 0.000
Na1 0.003 0.671 0.331
Na2 0.177 0.894 0.283
Na3 0.340 0.671 0.669
Na4 0.389 0.106 0.283
Na5 0.500 0.000 0.500
Na6 0.611 0.894 0.717
Na7 0.660 0.329 0.331
Na8 0.823 0.106 0.717
Na9 0.997 0.329 0.669
Tl1 0.308 0.500 0.808
Tl2 0.692 0.500 0.192